No. 1
A relaxed structure of TcNiNF2, computed with PBEsol.

Properties
Mass density   6.38 Mg/m³
Total energy   -29.15 eV per cell
SG   P4/mmm, No. 123
Formation energy from raw total energies   0.132 eV per atom

Unit cell a=3.675 b=3.675 c=4.022 alpha=90.00 beta=90.00 gamma=90.00
Site moments in Bohr magnetons follow the coordinates.
Fractional coordinates of all 5 atoms:
Ni: 0.000 0.000 0.000  0.01
Tc: 0.500 0.500 0.500  3.77
F: 0.000 0.500 0.000  0.07
F: 0.500 0.000 0.000  0.07
N: 0.000 0.000 0.500  -0.04

=====

No. 2
A relaxed structure of SrCa2ReF, computed with PBEsol.

Properties
Mass density   3.76 Mg/m³
Total energy   -18.12 eV per cell
SG   P4/mmm, No. 123
Formation energy from raw total energies   0.649 eV per atom

Unit cell a=4.223 b=6.246 c=6.246 alpha=90.00 beta=90.00 gamma=90.00
Site moments in Bohr magnetons follow the coordinates.
Fractional coordinates of all 5 atoms:
Ca: 0.000 0.000 0.500  -0.06
Ca: 0.000 0.500 0.000  -0.06
Sr: 0.000 0.000 0.000  -0.06
F: 0.500 0.000 0.000  0.00
Re: 0.500 0.500 0.500  2.86

=====

No. 3
A relaxed structure of NaSm3GeS7, computed with PBEsol.

Properties
Mass density   5.13 Mg/m³
Total energy   -142.49 eV per cell
SG   P6_3, No. 173
Formation energy from raw total energies   -1.578 eV per atom

Unit cell a=5.733 b=10.025 c=10.025 alpha=120.00 beta=90.00 gamma=90.00
Fractional coordinates of all 24 atoms:
S: 0.772 0.095 0.832
S: 0.050 0.333 0.667
S: 0.272 0.832 0.737
S: 0.508 0.415 0.898
S: 0.772 0.168 0.263
S: 0.550 0.667 0.333
S: 0.508 0.483 0.585
S: 0.772 0.737 0.905
S: 0.008 0.517 0.415
S: 0.008 0.898 0.483
S: 0.272 0.263 0.095
S: 0.508 0.102 0.517
S: 0.272 0.905 0.168
S: 0.008 0.585 0.102
Sm: 0.251 0.639 0.871
Sm: 0.751 0.768 0.639
Sm: 0.751 0.871 0.232
Sm: 0.251 0.232 0.361
Sm: 0.751 0.361 0.129
Sm: 0.251 0.129 0.768
Na: 0.520 0.000 0.000
Na: 0.020 0.000 0.000
Ge: 0.168 0.667 0.333
Ge: 0.668 0.333 0.667

=====

No. 4
A relaxed structure of Li2TaOs, computed with PBEsol.

Properties
Mass density   10.87 Mg/m³
Total energy   -27.34 eV per cell
SG   Pmmm, No. 47
Energy of formation   0.34 eV/atom

Unit cell a=2.546 b=4.501 c=5.133 alpha=90.00 beta=90.00 gamma=90.00
Fractional coordinates of all 4 atoms:
Ta: 0.500 0.500 0.500
Os: 0.500 0.500 0.000
Li: 0.000 0.000 0.772
Li: 0.000 0.000 0.228

=====

No. 5
A relaxed structure of TaCr3Sn, computed with PBEsol.

Properties
Mass density   7.58 Mg/m³
Total energy   -39.64 eV per cell
SG   Pm-3m, No. 221
Energy of formation   1.58 eV/atom

Unit cell a=4.638 b=4.638 c=4.638 alpha=90.00 beta=90.00 gamma=90.00
Site moments in Bohr magnetons follow the coordinates.
Fractional coordinates of all 5 atoms:
Cr: 0.000 0.500 0.000  2.58
Cr: 0.000 0.000 0.500  2.58
Cr: 0.500 0.000 0.000  2.58
Ta: 0.000 0.000 0.000  -0.49
Sn: 0.500 0.500 0.500  -0.14

=====

No. 6
A relaxed structure of Li2GeAu, computed with PBEsol.

Properties
Mass density   8.14 Mg/m³
Total energy   -14.83 eV per cell
SG   F-43m, No. 216
Energy of formation   -0.51 eV/atom

Unit cell a=4.340 b=4.340 c=4.340 alpha=60.00 beta=60.00 gamma=60.00
Fractional coordinates of all 4 atoms:
Au: 0.750 0.750 0.750
Li: 0.500 0.500 0.500
Li: 0.250 0.250 0.250
Ge: 0.000 0.000 0.000

=====

No. 7
A relaxed structure of ZrAlCo, computed with PBEsol.

Properties
Mass density   5.25 Mg/m³
Total energy   -19.21 eV per cell
SG   F-43m, No. 216
Energy of formation   0.57 eV/atom

Unit cell a=4.296 b=4.296 c=4.296 alpha=60.00 beta=60.00 gamma=60.00
Site moments in Bohr magnetons follow the coordinates.
Fractional coordinates of all 3 atoms:
Al: 0.000 0.000 0.000  0.00
Zr: 0.750 0.750 0.750  -0.02
Co: 0.500 0.500 0.500  0.18

=====

No. 8
A relaxed structure of LiCS2Cl, computed with PBEsol.

Properties
Mass density   1.94 Mg/m³
Total energy   -20.53 eV per cell
SG   P4/mmm, No. 123
Formation energy from raw total energies   0.371 eV per atom

Unit cell a=3.765 b=3.765 c=7.143 alpha=90.00 beta=90.00 gamma=90.00
Fractional coordinates of all 5 atoms:
C: 0.000 0.000 0.000
Cl: 0.000 0.000 0.500
S: 0.500 0.000 0.000
S: 0.000 0.500 0.000
Li: 0.500 0.500 0.500

=====

No. 9
A relaxed structure of Ga3PbBr, computed with PBEsol.

Properties
Mass density   5.49 Mg/m³
Total energy   -13.50 eV per cell
SG   Pm-3m, No. 221
Formation energy from raw total energies   0.478 eV per atom

Unit cell a=5.314 b=5.314 c=5.314 alpha=90.00 beta=90.00 gamma=90.00
Fractional coordinates of all 5 atoms:
Pb: 0.500 0.500 0.500
Ga: 0.000 0.500 0.000
Ga: 0.000 0.000 0.500
Ga: 0.500 0.000 0.000
Br: 0.000 0.000 0.000

=====

No. 10
A relaxed structure of CaBe2Si2, computed with PBEsol.

Properties
Mass density   2.57 Mg/m³
Total energy   -22.99 eV per cell
SG   I4/mmm, No. 139
Formation energy from raw total energies   -0.273 eV per atom

Unit cell a=3.922 b=3.922 c=5.538 alpha=110.74 beta=110.74 gamma=90.00
Fractional coordinates of all 5 atoms:
Ca: 0.000 0.000 0.000
Si: 0.376 0.376 0.753
Si: 0.624 0.624 0.247
Be: 0.750 0.250 0.500
Be: 0.250 0.750 0.500

=====

No. 11
A relaxed structure of Cr2NiAg, computed with PBEsol.

Properties
Mass density   9.20 Mg/m³
Total energy   -28.04 eV per cell
SG   I4/mmm, No. 139
Energy of formation   0.48 eV/atom

Unit cell a=3.495 b=3.505 c=4.692 alpha=111.93 beta=111.87 gamma=90.00
Fractional coordinates of all 4 atoms:
Ag: 0.000 0.500 0.000
Cr: 0.250 0.250 0.500
Cr: 0.750 0.750 0.500
Ni: 0.500 0.000 0.000

=====

No. 12
A relaxed structure of Mg5Ir, computed with PBEsol.

Properties
Mass density   4.67 Mg/m³
Total energy   -19.20 eV per cell
SG   Cmmm, No. 65
Energy of formation   -0.13 eV/atom

Unit cell a=4.382 b=4.430 c=6.151 alpha=90.00 beta=110.87 gamma=90.00
Fractional coordinates of all 6 atoms:
Mg: 0.651 0.500 0.302
Mg: 0.000 0.500 0.000
Mg: 0.151 0.000 0.301
Mg: 0.349 0.500 0.698
Mg: 0.849 0.000 0.699
Ir: 0.500 0.000 0.000

=====

Question: What is the total energy in the sixth record?
Answer: -14.83 eV per cell